No. 1
Here is crystalline TbPm7Y4 at its relaxed geometry from the Alexandria database. Energies are from PBE-GGA.

Geometry as CIF:
```
data_TbPm7Y4
_chemical_formula_sum 'Tb2 Pm14 Y8'
_cell_length_a 12.097
_cell_length_b 6.032
_cell_length_c 12.786
_cell_angle_alpha 90.00
_cell_angle_beta 117.72
_cell_angle_gamma 90.00
_symmetry_space_group_name_H-M 'C 1 2/m 1'
_symmetry_Int_Tables_number 12
loop_
_symmetry_equiv_pos_as_xyz
'x,y,z'
'-x,-y,-z'
'-x,y,-z'
'x,-y,z'
'x+1/2,y+1/2,z'
'-x+1/2,-y+1/2,-z'
'-x+1/2,y+1/2,-z'
'x+1/2,-y+1/2,z'
loop_
_atom_site_label
_atom_site_fract_x
_atom_site_fract_y
_atom_site_fract_z
_atom_site_occupancy
Tb1 0.000 0.000 0.000 1
Pm1 0.000 0.500 0.000 1
Pm2 0.129 0.000 0.499 1
Pm3 0.211 0.500 0.922 1
Pm4 0.242 0.500 0.680 1
Y1 0.063 0.500 0.320 1
Y2 0.135 0.000 0.776 1
```

Computed properties:
E_tot (eV/atom): -5.061
Density of states at the Fermi level (states/eV/f.u.): 18.1
Formation energy (eV/atom): 0.250
Total magnetic moment (μB/cell): 0.00

No. 2
Here is crystalline TbPm6Y at its relaxed geometry from the Alexandria database. Energies are from PBE-GGA.

Geometry as CIF:
```
data_TbPm6Y
_chemical_formula_sum 'Tb1 Pm6 Y1'
_cell_length_a 5.134
_cell_length_b 5.134
_cell_length_c 10.264
_cell_angle_alpha 90.00
_cell_angle_beta 90.00
_cell_angle_gamma 90.00
_symmetry_space_group_name_H-M 'P 4/m m m'
_symmetry_Int_Tables_number 123
_symmetry_space_group_name_Hall '-P 4 2'
loop_
_atom_site_label
_atom_site_fract_x
_atom_site_fract_y
_atom_site_fract_z
_atom_site_occupancy
Tb1 0.000 0.000 0.000 1
Pm1 0.000 0.500 0.250 1
Pm2 0.500 0.500 0.000 1
Pm3 0.500 0.500 0.500 1
Y1 0.000 0.000 0.500 1
```

Computed properties:
E_tot (eV/atom): -4.934
Density of states at the Fermi level (states/eV/f.u.): 13.0
Formation energy (eV/atom): 0.016
Total magnetic moment (μB/cell): 0.00

No. 3
Here is crystalline Tb3PmY7 at its relaxed geometry from the Alexandria database. Energies are from PBE-GGA.

Geometry as CIF:
```
data_Tb3PmY7
_chemical_formula_sum 'Tb3 Pm1 Y7'
_cell_length_a 6.934
_cell_length_b 5.569
_cell_length_c 10.029
_cell_angle_alpha 90.00
_cell_angle_beta 109.55
_cell_angle_gamma 90.00
_symmetry_space_group_name_H-M 'P 1 2/m 1'
_symmetry_Int_Tables_number 10
loop_
_symmetry_equiv_pos_as_xyz
'x,y,z'
'-x,-y,-z'
'-x,y,-z'
'x,-y,z'
loop_
_atom_site_label
_atom_site_fract_x
_atom_site_fract_y
_atom_site_fract_z
_atom_site_occupancy
Tb1 0.000 0.000 0.000 1
Tb2 0.221 0.500 0.503 1
Pm1 0.500 0.000 0.000 1
Y1 0.078 0.000 0.669 1
Y2 0.179 0.500 0.861 1
Y3 0.353 0.500 0.212 1
Y4 0.500 0.000 0.500 1
```

Computed properties:
E_tot (eV/atom): -5.665
Polymorph energy (0 for the lowest one) (meV/atom): 0
Density of states at the Fermi level (states/eV/f.u.): 19.0
Formation energy (eV/atom): 0.143
Total magnetic moment (μB/cell): 0.00

No. 4
Here is crystalline Tb5PmY12 at its relaxed geometry from the Alexandria database. Energies are from PBE-GGA.

Geometry as CIF:
```
data_Tb5PmY12
_chemical_formula_sum 'Tb5 Pm1 Y12'
_cell_length_a 10.710
_cell_length_b 5.050
_cell_length_c 10.724
_cell_angle_alpha 90.00
_cell_angle_beta 90.09
_cell_angle_gamma 90.00
_symmetry_space_group_name_H-M 'P 1 2/m 1'
_symmetry_Int_Tables_number 10
loop_
_symmetry_equiv_pos_as_xyz
'x,y,z'
'-x,-y,-z'
'-x,y,-z'
'x,-y,z'
loop_
_atom_site_label
_atom_site_fract_x
_atom_site_fract_y
_atom_site_fract_z
_atom_site_occupancy
Tb1 0.000 0.000 0.000 1
Tb2 0.167 0.500 0.833 1
Tb3 0.333 0.000 0.667 1
Pm1 0.500 0.500 0.500 1
Y1 0.001 0.000 0.668 1
Y2 0.166 0.500 0.166 1
Y3 0.166 0.500 0.501 1
Y4 0.332 0.000 0.999 1
Y5 0.333 0.000 0.333 1
Y6 0.499 0.500 0.834 1
```

Computed properties:
E_tot (eV/atom): -5.838
Density of states at the Fermi level (states/eV/f.u.): 26.4
Formation energy (eV/atom): 0.021
Total magnetic moment (μB/cell): 0.00

No. 5
Here is crystalline Tb12PmY3 at its relaxed geometry from the Alexandria database. Energies are from PBE-GGA.

Geometry as CIF:
```
data_Tb12PmY3
_chemical_formula_sum 'Tb12 Pm1 Y3'
_cell_length_a 5.049
_cell_length_b 5.049
_cell_length_c 20.178
_cell_angle_alpha 90.00
_cell_angle_beta 90.00
_cell_angle_gamma 90.00
_symmetry_space_group_name_H-M 'P 4/m m m'
_symmetry_Int_Tables_number 123
_symmetry_space_group_name_Hall '-P 4 2'
loop_
_atom_site_label
_atom_site_fract_x
_atom_site_fract_y
_atom_site_fract_z
_atom_site_occupancy
Tb1 0.000 0.000 0.000 1
Tb2 0.000 0.000 0.249 1
Tb3 0.000 0.000 0.500 1
Tb4 0.000 0.500 0.125 1
Tb5 0.000 0.500 0.374 1
Pm1 0.500 0.500 0.500 1
Y1 0.500 0.500 0.000 1
Y2 0.500 0.500 0.250 1
```

Computed properties:
E_tot (eV/atom): -4.963
Density of states at the Fermi level (states/eV/f.u.): 21.8
Formation energy (eV/atom): 0.018
Total magnetic moment (μB/cell): 0.00

No. 6
Here is crystalline Tb3PmY6 at its relaxed geometry from the Alexandria database. Energies are from PBE-GGA.

Geometry as CIF:
```
data_Tb3PmY6
_chemical_formula_sum 'Tb12 Pm4 Y24'
_cell_length_a 11.033
_cell_length_b 18.982
_cell_length_c 6.286
_cell_angle_alpha 90.00
_cell_angle_beta 90.00
_cell_angle_gamma 90.00
_symmetry_space_group_name_H-M 'C m c 21'
_symmetry_Int_Tables_number 36
loop_
_symmetry_equiv_pos_as_xyz
'x,y,z'
'-x,-y,z+1/2'
'-x,y,z'
'x,-y,z+1/2'
'x+1/2,y+1/2,z'
'-x+1/2,-y+1/2,z+1/2'
'-x+1/2,y+1/2,z'
'x+1/2,-y+1/2,z+1/2'
loop_
_atom_site_label
_atom_site_fract_x
_atom_site_fract_y
_atom_site_fract_z
_atom_site_occupancy
Tb1 0.000 0.111 0.000 1
Tb2 0.173 0.390 0.382 1
Pm1 0.000 0.296 0.080 1
Y1 0.000 0.220 0.580 1
Y2 0.000 0.454 0.828 1
Y3 0.165 0.045 0.466 1
Y4 0.246 0.209 0.292 1
```

Computed properties:
E_tot (eV/atom): -5.599
Polymorph energy (0 for the lowest one) (meV/atom): 30
Density of states at the Fermi level (states/eV/f.u.): 15.1
Formation energy (eV/atom): 0.143
Total magnetic moment (μB/cell): 0.00

total magnetic moment of number 5 (Tb12PmY3)? 0.00 μB/cell

Which formula does entry 3 have? Tb3PmY7